No. 1
{"formula": "DyLuNiAu", "functional": "PBE", "state": "relaxed", "total_energy_ev_per_cell": -20.658, "ef_ev_per_atom": -0.6191, "dos_ef_per_ev_fu": 3.329, "lattice_angstrom": [[4.9021, 0.0000, 0.0000], [2.4511, 4.2454, 0.0000], [2.4511, 1.4151, 4.0026]], "species": ["Ni", "Dy", "Lu", "Au"], "fractional_positions": [[0.2500, 0.2500, 0.2500], [0.0000, 0.0000, 0.0000], [0.5000, 0.5000, 0.5000], [0.7500, 0.7500, 0.7500]]}

***

No. 2
{"formula": "MnVReOs", "functional": "PBE", "state": "relaxed", "total_energy_ev_per_cell": -42.370, "ef_ev_per_atom": -0.1010, "dos_ef_per_ev_fu": 3.129, "lattice_angstrom": [[-3.2965, 1.9913, -1.8343], [-1.3470, -1.2168, -3.8603], [-3.7401, -2.0083, -0.4188]], "species": ["Mn", "V", "Re", "Os"], "fractional_positions": [[0.0000, 0.0000, 0.0000], [0.5000, 0.5000, 0.5000], [0.2500, 0.2500, 0.2500], [0.7500, 0.7500, 0.7500]]}